No. 1
A relaxed structure of SrHfO3, computed with PBE.

```
10
Lattice="2.033 -6.004 0.000 2.033 6.004 0.000 0.000 0.000 6.198" Properties=species:S:1:pos:R:3 pbc="T T T"
Sr 2.033 3.654 4.649
Sr 2.033 -3.654 1.550
Hf 2.033 0.249 4.649
Hf 2.033 -0.249 1.550
O 2.033 5.949 1.550
O 2.033 1.500 0.077
O 2.033 1.500 3.022
O 2.033 -1.500 3.176
O 2.033 -1.500 6.121
O 2.033 -5.949 4.649
```

Results
SG ... Cmcm
E_tot ... -8.516 eV/atom
Size of the total moment ... 0.00 Bohr magnetons per cell
Crystal system ... orthorhombic

***

No. 2
A relaxed structure of Sr2Hf7O16, computed with PBE.

```
25
Lattice="3.202 1.849 8.931 -3.202 1.849 8.931 0.000 -3.698 8.931" Properties=species:S:1:pos:R:3 pbc="T T T"
Sr 0.000 0.000 4.458
Sr 0.000 0.000 22.335
Hf -2.367 -0.011 10.304
Hf -1.174 -2.055 16.488
Hf 1.193 -2.045 10.304
Hf 0.000 0.000 13.396
Hf -1.193 2.045 16.488
Hf 1.174 2.055 10.304
Hf 2.367 0.010 16.488
O 0.000 0.000 1.886
O -0.835 -1.593 9.732
O -1.762 -0.031 12.252
O 0.000 0.000 7.078
O -0.854 -1.541 14.541
O -1.797 -0.074 17.061
O -0.963 1.519 9.732
O 0.908 -1.510 12.252
O -0.908 1.510 14.541
O 0.963 -1.519 17.061
O 1.797 0.074 9.732
O 0.854 1.541 12.252
O 0.000 0.000 19.715
O 1.762 0.031 14.541
O 0.835 1.593 17.061
O 0.000 0.000 24.907
```

Results
SG ... R-3
E_tot ... -9.584 eV/atom
Size of the total moment ... 0.00 Bohr magnetons per cell
Crystal system ... trigonal

***

No. 3
A relaxed structure of SrHfO3, computed with PBE.

```
10
Lattice="-2.390 2.390 6.718 2.390 -2.390 6.718 2.390 2.390 -6.718" Properties=species:S:1:pos:R:3 pbc="T T T"
Sr 0.000 0.000 1.473
Sr 0.000 0.000 11.963
Hf 0.000 0.000 6.718
Hf 0.000 2.390 3.359
O 2.390 0.000 0.441
O 2.390 1.268 -1.915
O 2.390 0.000 6.277
O 0.000 1.122 4.803
O 1.268 2.390 1.915
O 1.122 0.000 8.633
```

Results
SG ... I-4m2
E_tot ... -7.708 eV/atom
Size of the total moment ... 0.00 Bohr magnetons per cell
Crystal system ... tetragonal

***

No. 4
A relaxed structure of Sr2HfO4, computed with PBE.

```
7
Lattice="-2.059 2.059 6.413 2.059 -2.059 6.413 2.059 2.059 -6.413" Properties=species:S:1:pos:R:3 pbc="T T T"
Sr 0.000 0.000 1.894
Sr 0.000 0.000 10.932
Hf 0.000 0.000 6.413
O 2.059 0.000 0.000
O 0.000 0.000 4.309
O 0.000 2.059 0.000
O 0.000 0.000 8.518
```

Results
SG ... I4/mmm
Size of the total moment ... 0.00 Bohr magnetons per cell
Crystal system ... tetragonal
Energy above the lowest structure with this stoichiometry ... 13 meV/atom

***

No. 5
A relaxed structure of Sr6HfO8, computed with PBE.

```
15
Lattice="0.000 5.104 5.104 5.104 0.000 5.104 5.104 5.104 0.000" Properties=species:S:1:pos:R:3 pbc="T T T"
Sr 2.552 2.552 0.000
Sr 2.552 0.000 2.552
Sr 5.104 2.552 2.552
Sr 0.000 2.552 2.552
Sr 2.552 5.104 2.552
Sr 2.552 2.552 5.104
Hf 0.000 0.000 0.000
O 5.104 5.104 2.137
O 5.104 2.137 5.104
O 8.071 5.104 5.104
O 2.552 2.552 2.552
O 7.656 7.656 7.656
O 2.137 5.104 5.104
O 5.104 8.071 5.104
O 5.104 5.104 8.071
```

Results
SG ... Fm-3m
E_tot ... -6.920 eV/atom
Size of the total moment ... 0.00 Bohr magnetons per cell
Crystal system ... cubic

***

No. 6
A relaxed structure of Sr2HfO4, computed with PBE.

```
28
Lattice="5.860 0.000 0.000 0.000 5.860 0.000 0.000 0.000 12.646" Properties=species:S:1:pos:R:3 pbc="T T T"
Sr 0.087 0.087 1.878
Sr 0.087 2.843 8.201
Sr 2.843 0.087 8.201
Sr 2.843 2.843 1.878
Sr 3.017 3.017 10.768
Sr 3.017 5.773 4.445
Sr 5.773 3.017 4.445
Sr 5.773 5.773 10.768
Hf 0.000 0.000 6.323
Hf 0.000 2.930 0.000
Hf 2.930 0.000 0.000
Hf 2.930 2.930 6.323
O 0.266 0.266 8.387
O 0.266 2.665 2.065
O 1.465 1.465 5.985
O 1.465 1.465 12.308
O 1.465 4.395 0.000
O 1.465 4.395 6.323
O 2.665 0.266 2.065
O 2.665 2.665 8.387
O 3.196 3.196 4.258
O 3.196 5.595 10.581
O 4.395 1.465 0.000
O 4.395 1.465 6.323
O 4.395 4.395 0.338
O 4.395 4.395 6.661
O 5.595 3.196 10.581
O 5.595 5.595 4.258
```

Results
SG ... P4_2/ncm
Size of the total moment ... 0.00 Bohr magnetons per cell
Crystal system ... tetragonal
Energy above the lowest structure with this stoichiometry ... 0 meV/atom

***

- What is the formula in the fourth record?
  Sr2HfO4

***

- What is the size of the total moment in the second record?
  0.00 Bohr magnetons per cell